Entry from the Alexandria database: Rb3Ac3GeO8 after structural relaxation (PBE-GGA).

Lattice parameters (Å, degrees): 7.355 7.357 7.907 117.75 90.00 119.99
Fractional positions:
O: 0.191 0.383 0.662
O: 0.808 0.029 0.337
Ac: 0.500 0.500 0.500
Rb: 0.000 0.000 0.000
O: 0.221 0.029 0.338
O: 0.192 0.971 0.663
Ac: 0.000 0.500 0.500
Ge: 0.000 0.000 0.500
Rb: 0.000 0.500 0.000
Ac: 0.500 0.000 0.500
Rb: 0.500 0.500 0.000
O: 0.779 0.971 0.662
O: 0.729 0.458 0.687
O: 0.271 0.542 0.313
O: 0.809 0.617 0.338

Computed properties:
* formation energy without anion corrections: -51.9 kcal/mol of atoms
* magnetic moment: 0.0 μB per formula unit

Entry from the Alexandria database: Rb2AcGeO4 after structural relaxation (PBE-GGA).

Lattice parameters (Å, degrees): 6.240 6.240 6.240 98.60 115.16 115.16
Last column: magnetic moment on the atom in μB.
Fractional positions:
Rb: 0.500 0.750 0.250  0.01
O: 0.703 0.444 0.523  0.00
O: 0.921 0.477 0.181  0.00
O: 0.297 0.819 0.741  0.00
Ac: 0.500 0.250 0.750  0.06
Rb: 0.000 0.000 0.000  0.01
O: 0.079 0.259 0.556  0.00
Ge: 0.000 0.500 0.500  0.00

Computed properties:
* formation energy without anion corrections: -44.0 kcal/mol of atoms
* magnetic moment: 0.3 μB per formula unit

Entry from the Alexandria database: RbAcGeO3 after structural relaxation (PBE-GGA).

Lattice parameters (Å, degrees): 3.671 7.037 10.825 100.95 90.00 90.00
Fractional positions:
O: 0.250 0.553 0.895
O: 0.250 0.677 0.360
Ac: 0.250 0.680 0.129
Rb: 0.250 0.262 0.291
O: 0.750 0.323 0.640
O: 0.750 0.447 0.105
Ac: 0.750 0.320 0.871
O: 0.250 0.091 0.756
Ge: 0.750 0.828 0.399
Rb: 0.750 0.738 0.709
Ge: 0.250 0.172 0.601
O: 0.750 0.909 0.244

Computed properties:
* formation energy without anion corrections: -47.5 kcal/mol of atoms
* magnetic moment: 0.0 μB per formula unit

Entry from the Alexandria database: RbAc2GeO6 after structural relaxation (PBE-GGA).

Lattice parameters (Å, degrees): 6.052 6.052 6.052 63.77 63.77 63.77
Last column: magnetic moment on the atom in μB.
Fractional positions:
O: 0.160 0.673 0.927  0.14
O: 0.673 0.927 0.160  0.14
Ac: 0.774 0.774 0.774  0.01
Ac: 0.226 0.226 0.226  0.01
Ge: 0.000 0.000 0.000  -0.01
O: 0.927 0.160 0.673  0.14
O: 0.841 0.327 0.073  0.14
Rb: 0.500 0.500 0.500  0.01
O: 0.073 0.841 0.327  0.14
O: 0.327 0.073 0.841  0.14

Computed properties:
* formation energy without anion corrections: -52.5 kcal/mol of atoms
* magnetic moment: 1.0 μB per formula unit

Entry from the Alexandria database: Rb2Ac2GeO6 after structural relaxation (PBE-GGA).

Lattice parameters (Å, degrees): 6.165 6.165 6.929 96.54 96.54 118.70
Fractional positions:
O: 0.037 0.321 0.659
O: 0.679 0.963 0.341
Ge: 0.000 0.000 0.500
O: 0.213 0.213 0.333
Rb: 0.845 0.155 0.000
Rb: 0.155 0.845 0.000
Ac: 0.336 0.664 0.500
O: 0.963 0.679 0.341
O: 0.321 0.037 0.659
O: 0.787 0.787 0.667
Ac: 0.664 0.336 0.500

Computed properties:
* formation energy without anion corrections: -50.3 kcal/mol of atoms
* magnetic moment: 0.0 μB per formula unit

Entry from the Alexandria database: RbAcGe2O6 after structural relaxation (PBE-GGA).

Lattice parameters (Å, degrees): 7.343 7.343 7.297 97.63 97.63 109.56
Fractional positions:
O: 0.721 0.382 0.601
O: 0.486 0.069 0.352
Rb: 0.958 0.042 0.750
O: 0.279 0.618 0.399
O: 0.382 0.721 0.101
O: 0.069 0.486 0.852
O: 0.758 0.698 0.892
Ac: 0.399 0.601 0.750
Ge: 0.828 0.491 0.866
Rb: 0.042 0.958 0.250
O: 0.618 0.279 0.899
O: 0.302 0.242 0.608
O: 0.514 0.931 0.648
Ge: 0.172 0.509 0.134
Ac: 0.601 0.399 0.250
O: 0.698 0.758 0.392
O: 0.931 0.514 0.148
Ge: 0.509 0.172 0.634
O: 0.242 0.302 0.108
Ge: 0.491 0.828 0.366

Computed properties:
* formation energy without anion corrections: -49.3 kcal/mol of atoms
* magnetic moment: 0.0 μB per formula unit

Entry from the Alexandria database: RbAcGeO4 after structural relaxation (PBE-GGA).

Lattice parameters (Å, degrees): 6.262 5.974 7.901 90.00 102.51 90.00
Fractional positions:
O: 0.070 0.983 0.318
Ac: 0.775 0.750 0.441
O: 0.562 0.250 0.808
O: 0.070 0.517 0.318
Rb: 0.681 0.750 0.912
Ge: 0.747 0.250 0.668
Ge: 0.253 0.750 0.332
O: 0.438 0.750 0.192
Ac: 0.225 0.250 0.559
O: 0.418 0.750 0.549
O: 0.930 0.483 0.682
Rb: 0.319 0.250 0.088
O: 0.582 0.250 0.451
O: 0.930 0.017 0.682

Computed properties:
* formation energy without anion corrections: -54.2 kcal/mol of atoms
* magnetic moment: 0.0 μB per formula unit

Entry from the Alexandria database: AcGeRhO5 after structural relaxation (PBE-GGA).

Lattice parameters (Å, degrees): 5.857 5.857 7.332 103.37 103.37 108.13
Fractional positions:
Rh: 0.000 0.000 0.000
O: 0.312 0.899 0.608
Ac: 0.663 0.337 0.750
O: 0.392 0.245 0.067
Ge: 0.690 0.310 0.250
O: 0.608 0.755 0.933
O: 0.086 0.914 0.250
O: 0.755 0.608 0.433
O: 0.245 0.392 0.567
Ge: 0.310 0.690 0.750
O: 0.101 0.688 0.892
Rh: 0.000 0.000 0.500
Ac: 0.337 0.663 0.250
O: 0.899 0.312 0.108
O: 0.688 0.101 0.392
O: 0.914 0.086 0.750

Computed properties:
* formation energy without anion corrections: -44.0 kcal/mol of atoms
* magnetic moment: 0.0 μB per formula unit

What is the formation energy without anion corrections in the seventh record? -54.2 kcal/mol of atoms

What is the formula in the seventh record? RbAcGeO4

Among the records above, which one has the lowest formation energy without anion corrections? RbAcGeO4

Please write out number 7 again, unchanged.
Entry from the Alexandria database: RbAcGeO4 after structural relaxation (PBE-GGA).

Lattice parameters (Å, degrees): 6.262 5.974 7.901 90.00 102.51 90.00
Fractional positions:
O: 0.070 0.983 0.318
Ac: 0.775 0.750 0.441
O: 0.562 0.250 0.808
O: 0.070 0.517 0.318
Rb: 0.681 0.750 0.912
Ge: 0.747 0.250 0.668
Ge: 0.253 0.750 0.332
O: 0.438 0.750 0.192
Ac: 0.225 0.250 0.559
O: 0.418 0.750 0.549
O: 0.930 0.483 0.682
Rb: 0.319 0.250 0.088
O: 0.582 0.250 0.451
O: 0.930 0.017 0.682

Computed properties:
* formation energy without anion corrections: -54.2 kcal/mol of atoms
* magnetic moment: 0.0 μB per formula unit